## a
DFT (PBE) results for a relaxed structure of Li8Cd2Pd.

Lattice parameters (Å, degrees): 6.308 7.798 7.798 38.88 58.20 58.20
Sites, in units of the cell vectors:
Li: 0.762 0.611 0.611
Li: 0.243 0.813 0.316
Li: 0.238 0.389 0.389
Li: 0.243 0.316 0.813
Li: 0.190 0.763 0.763
Li: 0.757 0.684 0.187
Li: 0.757 0.187 0.684
Li: 0.810 0.237 0.237
Pd: 0.000 0.000 0.000
Cd: 0.526 0.840 0.840
Cd: 0.474 0.160 0.160

Values from the calculation:
total magnetization = 0.0 μB/f.u.
symmetry = C2/m
crystal system = monoclinic


## b
DFT (PBE) results for a relaxed structure of Li8Cd2Pd.

Lattice parameters (Å, degrees): 4.071 6.614 7.577 106.01 105.59 90.00
Sites, in units of the cell vectors:
Cd: 0.780 0.355 0.560
Cd: 0.220 0.645 0.440
Li: 0.868 0.833 0.735
Li: 0.132 0.167 0.265
Li: 0.039 0.747 0.078
Li: 0.410 0.570 0.820
Li: 0.961 0.253 0.922
Li: 0.673 0.907 0.345
Li: 0.590 0.430 0.180
Li: 0.327 0.093 0.655
Pd: 0.500 0.000 0.000

Values from the calculation:
total magnetization = 0.0 μB/f.u.
symmetry = C2/m
crystal system = monoclinic


Pick b: it beats the second-best structure by 0.052 eV/atom.